A plane-wave DFT calculation with PBE with a Hubbard U was carried out for Be2CrSbO8 after structural relaxation.

```
Be2CrSbO8
1.0
5.243 0.000 0.000
-2.622 4.541 0.000
0.000 0.000 5.471
Be Cr Sb O
2 1 1 8
Cartesian
0.000 3.027 1.749
2.622 1.514 3.722
0.000 0.000 2.735
0.000 0.000 0.000
-0.256 1.464 1.373
-1.225 4.031 1.373
1.140 0.954 4.098
0.000 3.027 3.483
2.622 1.514 1.987
1.482 3.587 1.373
3.847 0.510 4.098
2.878 3.076 4.098
```

Computed properties:
- magnetic moment (Bohr magnetons per cell) = 1.000
- E_tot (eV per atom) = -6.12